(1)
The following is a PBE calculation of a geometry-optimized MgBeC2 structure, from Alexandria.

a b c (Å): 5.2439 5.2439 5.2439
angles (deg): 90.00 90.00 90.00
Space group Fm-3m (No. 225)
Asymmetric unit:
Mg 0.0000 0.0000 0.0000 [4 per cell]
Be 0.0000 0.0000 0.5000 [4 per cell]
C 0.2500 0.2500 0.2500 [8 per cell]

Summary:
For the polymorph energy (0 for the lowest one), the calculation gives 2.51 eV/f.u. The calculation puts the energy of formation from the pure elements at 1.4612 eV per atom. The mass density is 2.6 g/cm3. Its electronic total energy is -4.48 eV per atom.

---

(2)
The following is a PBE calculation of a geometry-optimized MgBeC3 structure, from Alexandria.

a b c (Å): 3.6137 3.6137 3.6137
angles (deg): 90.00 90.00 90.00
Space group Pm-3m (No. 221)
Asymmetric unit:
Mg 0.0000 0.0000 0.0000 [1 per cell]
Be 0.5000 0.5000 0.5000 [1 per cell]
C 0.0000 0.5000 0.5000 [3 per cell]

Summary:
For the polymorph energy (0 for the lowest one), the calculation gives 0.00 eV/f.u. The calculation puts the energy of formation from the pure elements at 1.9472 eV per atom. The mass density is 2.4 g/cm3. Its electronic total energy is -4.65 eV per atom.

---

(3)
The following is a PBE calculation of a geometry-optimized MgBeC3 structure, from Alexandria.

a b c (Å): 4.0343 4.0343 4.0343
angles (deg): 90.00 90.00 90.00
Space group Pm-3m (No. 221)
Asymmetric unit:
Mg 0.0000 0.0000 0.0000 [1 per cell]
Be 0.5000 0.5000 0.5000 [1 per cell]
C 0.0000 0.0000 0.5000 [3 per cell]

Summary:
For the polymorph energy (0 for the lowest one), the calculation gives 6.42 eV/f.u. The calculation puts the energy of formation from the pure elements at 3.2313 eV per atom. The mass density is 1.8 g/cm3. Its electronic total energy is -3.37 eV per atom.

---

(4)
The following is a PBE calculation of a geometry-optimized MgBe2CN structure, from Alexandria.

a b c (Å): 3.2733 3.2733 4.3081
angles (deg): 90.00 90.00 90.00
Space group P4/mmm (No. 123)
Asymmetric unit:
Mg 0.0000 0.0000 0.0000 [1 per cell]
Be 0.0000 0.5000 0.5000 [2 per cell]
C 0.5000 0.5000 0.0000 [1 per cell]
N 0.0000 0.0000 0.5000 [1 per cell]

Summary:
The energy relative to the elements, uncorrected comes out at 234 meV/atom. The mass density is 2.5 g/cm3. Its electronic total energy is -5.09 eV per atom.

---

(5)
The following is a PBE calculation of a geometry-optimized MgBeCS2 structure, from Alexandria.

a b c (Å): 4.2927 4.2927 3.9900
angles (deg): 90.00 90.00 90.00
Space group P4/mmm (No. 123)
Asymmetric unit:
Mg 0.0000 0.0000 0.0000 [1 per cell]
Be 0.5000 0.5000 0.0000 [1 per cell]
C 0.0000 0.0000 0.5000 [1 per cell]
S 0.0000 0.5000 0.5000 [2 per cell]

Summary:
The energy relative to the elements, uncorrected comes out at 1009 meV/atom. The mass density is 2.5 g/cm3. Its electronic total energy is -3.55 eV per atom.

---

(6)
The following is a PBE calculation of a geometry-optimized MgBeC2Se structure, from Alexandria.

a b c (Å): 4.0246 4.0246 5.0031
angles (deg): 90.00 90.00 90.00
Space group P4/mmm (No. 123)
Asymmetric unit:
Mg 0.0000 0.0000 0.0000 [1 per cell]
Be 0.0000 0.0000 0.5000 [1 per cell]
C 0.0000 0.5000 0.0000 [2 per cell]
Se 0.5000 0.5000 0.5000 [1 per cell]

Summary:
For the polymorph energy (0 for the lowest one), the calculation gives 1.97 eV/f.u. The energy relative to the elements, uncorrected comes out at 2411 meV/atom. The mass density is 2.8 g/cm3. Its electronic total energy is -3.04 eV per atom.

---

Question: The lowest mass density belongs to which entry?
Answer: number 3

---

Question: mass density of number 4 (MgBe2CN)?
Answer: 2.5 g/cm3